[1]
PBE RbYRu2O8, optimized geometry; crystal system = monoclinic; formation energy from raw total energies = -17.83 eV per formula unit; space-group type = C2/m, No. 12
1.0
5.653 -0.120 0.012
2.502 5.071 0.012
0.409 0.248 8.517
Rb Y Ru O
1 1 2 8
Cartesian
0.204 0.124 4.259
0.000 0.000 0.000
5.232 3.177 1.906
3.331 2.023 6.634
4.957 1.265 6.891
6.310 3.831 0.625
5.815 3.530 3.520
2.749 1.669 5.021
2.253 1.368 7.915
3.409 3.815 6.891
5.154 1.385 1.649
3.606 3.934 1.649

[2]
PBE Rb3Y3RuO8, optimized geometry; crystal system = trigonal; formation energy from raw total energies = -34.74 eV per formula unit; space-group type = R-3m, No. 166
1.0
6.812 0.000 0.000
-3.406 5.900 -0.022
0.000 -3.910 6.599
Rb Y Ru O
3 3 1 8
Cartesian
0.000 0.000 0.000
-1.703 2.950 -0.011
1.703 2.950 -0.011
3.406 -1.955 3.299
1.703 0.995 3.288
-1.703 0.995 3.288
0.000 -1.955 3.299
0.000 1.974 2.145
3.406 0.016 4.431
3.406 2.134 2.200
0.000 -0.144 4.377
5.249 -1.056 2.212
-1.843 3.047 4.364
1.563 -1.056 2.212
1.843 3.047 4.364

[3]
PBE RbYRuO6, optimized geometry; crystal system = trigonal; formation energy from raw total energies = -13.51 eV per formula unit; space-group type = P312, No. 149
1.0
5.653 0.000 0.000
2.826 4.896 0.000
0.000 0.000 6.129
Rb Y Ru O
1 1 1 6
Cartesian
5.653 0.000 0.000
5.653 3.264 3.065
2.826 1.632 3.065
1.302 1.790 1.963
2.201 0.233 4.166
4.350 1.790 4.166
1.928 2.873 4.166
3.725 2.873 1.964
3.452 0.233 1.964

[4]
PBE RbZnRu2O8, optimized geometry; crystal system = monoclinic; formation energy from raw total energies = -11.85 eV per formula unit; space-group type = C2/m, No. 12
1.0
5.314 -0.189 0.120
2.284 4.802 0.120
0.532 0.323 8.314
Rb Zn Ru O
1 1 2 8
Cartesian
0.266 0.161 4.157
0.000 0.000 0.000
4.822 2.928 1.826
3.308 2.008 6.728
4.920 1.260 6.915
5.847 3.550 0.520
5.419 3.290 3.435
2.711 1.646 5.120
2.283 1.386 8.035
3.387 3.784 6.915
4.743 1.152 1.639
3.210 3.677 1.639

The highest formation energy from raw total energies belongs to which entry? RbZnRu2O8

Look up the formation energy from raw total energies of the fourth one. -11.85 eV per formula unit

What is the formula in the first record? RbYRu2O8